1.
The following is a DFT calculation (GGA-PBE) of a geometry-optimized RbInHgSb structure.

Lattice parameters (Å, degrees): 6.944 6.944 6.944 140.11 134.76 61.87
Sites, in units of the cell vectors:
Rb  0.000  0.000  0.000
In  0.744  0.244  0.500
Hg  0.349  0.349  0.000
Sb  0.607  0.607  0.000

Summary:
symmetry	Imm2
energy above the most stable polymorph in this dataset	0.0000	eV/atom

***

2.
The following is a DFT calculation (GGA-PBE) of a geometry-optimized RbInHg2Se structure.

Lattice parameters (Å, degrees): 5.720 5.720 5.647 90.00 90.00 90.00
Sites, in units of the cell vectors:
Rb  0.000  0.000  0.000
In  0.500  0.500  0.500
Hg  0.000  0.500  0.500
Hg  0.500  0.000  0.500
Se  0.500  0.500  0.000

Summary:
symmetry	P4/mmm

***

3.
The following is a DFT calculation (GGA-PBE) of a geometry-optimized RbInHg2Se4 structure.

Lattice parameters (Å, degrees): 7.173 7.173 7.173 121.79 107.72 99.71
Sites, in units of the cell vectors:
Rb  0.000  0.000  0.000
In  0.500  0.500  0.000
Hg  0.322  0.822  0.500
Hg  0.678  0.178  0.500
Se  0.152  0.118  0.605
Se  0.487  0.882  0.035
Se  0.513  0.548  0.395
Se  0.848  0.452  0.965

Summary:
symmetry	I222

***

| no. | density (Mg/m³) | DFT total energy (eV for the cell shown) |
| --- | --- | --- |
| 1 | 5.8 | -8.93 |
| 2 | 6.1 | -9.34 |
| 3 | 5.6 | -22.73 |